Record 1
Below is TbEr4S7 after structural relaxation, with properties calculated at the PBE level.

```
TbEr4S7
1.0
-1.980 -2.914 -1.371
4.581 -2.586 4.091
-8.786 2.668 7.017
S Er Tb
7 4 1
Direct
0.958 0.916 0.215
0.501 0.002 0.498
0.256 0.513 0.648
0.342 0.683 0.949
0.740 0.480 0.351
0.043 0.086 0.787
0.659 0.318 0.051
0.700 0.401 0.814
0.000 0.001 0.001
0.300 0.600 0.187
0.112 0.224 0.420
0.888 0.776 0.579
```

Energy relative to the elements, uncorrected = -2.06 eV per atom
DFT total energy = -6.378 eV/atom
Total magnetic moment = 0.000 μB per atom



Record 2
Below is Na8H8Pt3 after structural relaxation, with properties calculated at the PBE level.

```
Na8H8Pt3
1.0
-1.677 2.849 3.446
-5.799 1.338 -3.928
-0.487 -8.738 3.678
Na H Pt
8 8 3
Direct
0.975 0.729 0.950
0.393 0.074 0.786
0.025 0.271 0.050
0.336 0.548 0.673
0.664 0.452 0.327
0.214 0.802 0.428
0.607 0.926 0.214
0.786 0.198 0.572
0.730 0.816 0.460
0.809 0.568 0.618
0.270 0.184 0.540
0.882 0.060 0.764
0.479 0.709 0.958
0.191 0.432 0.382
0.521 0.291 0.042
0.118 0.940 0.236
0.174 0.185 0.349
0.826 0.815 0.651
0.500 0.500 0.000
```

DFT total energy = -3.206 eV/atom
Total magnetic moment = 0.000 μB per atom



Record 3
Below is TlIr3Os after structural relaxation, with properties calculated at the PBE level.

```
TlIr3Os
1.0
4.797 0.000 0.000
0.000 4.797 0.000
0.000 0.000 4.797
Tl Os Ir
1 1 3
Direct
0.500 0.500 0.500
0.000 0.000 0.000
0.000 0.000 0.500
0.500 0.000 0.000
0.000 0.500 0.000
```

DFT total energy = -6.468 eV/atom
ΔH_f (0 K) = 7.838 eV/f.u.
Energy above the most stable polymorph in this dataset = 0.000 eV/f.u.
Total magnetic moment = 0.000 μB per atom



Record 4
Below is LiHgIr2 after structural relaxation, with properties calculated at the PBE level.

```
LiHgIr2
1.0
4.662 -0.026 0.000
1.023 4.548 0.000
-2.843 -2.261 2.923
Ir Li Hg
2 1 1
Direct
0.000 0.000 0.000
0.250 0.750 0.500
0.500 0.500 0.000
0.750 0.250 0.500
```

DFT total energy = -4.752 eV/atom
ΔH_f (0 K) = 0.930 eV/f.u.
Total magnetic moment = 0.000 μB per atom



Record 5
Below is BeAl2Tl2 after structural relaxation, with properties calculated at the PBE level.

```
BeAl2Tl2
1.0
4.463 0.000 0.000
0.000 4.463 0.000
2.231 2.231 6.244
Al Tl Be
2 2 1
Direct
0.401 0.401 0.199
0.599 0.599 0.801
0.250 0.750 0.500
0.750 0.250 0.500
0.000 0.000 0.000
```

DFT total energy = -2.373 eV/atom
ΔH_f (0 K) = 4.081 eV/f.u.
Energy above the most stable polymorph in this dataset = 2.208 eV/f.u.
Total magnetic moment = 0.000 μB per atom



Record 6
Below is HfZrCr after structural relaxation, with properties calculated at the PBE level.

```
HfZrCr
1.0
3.264 0.000 0.000
0.000 3.264 0.000
-1.632 -1.632 5.303
Cr Hf Zr
1 1 1
Direct
0.668 0.668 0.337
0.315 0.315 0.630
0.017 0.017 0.034
```

DFT total energy = -9.227 eV/atom
ΔH_f (0 K) = 0.443 eV/f.u.
Energy above the most stable polymorph in this dataset = 0.000 eV/f.u.
Total magnetic moment = 0.474 μB per atom



Record 7
Below is ZrSc5Ga6 after structural relaxation, with properties calculated at the PBE level.

```
ZrSc5Ga6
1.0
4.518 -0.027 1.527
0.036 6.682 0.012
0.033 -0.014 7.541
Sc Ga Zr
5 6 1
Direct
0.000 0.500 0.000
0.335 0.000 0.330
0.332 0.500 0.335
0.668 0.500 0.665
0.665 0.000 0.670
0.167 0.750 0.665
0.833 0.250 0.335
0.500 0.746 0.000
0.833 0.750 0.335
0.167 0.250 0.665
0.500 0.254 0.000
0.000 0.000 0.000
```

DFT total energy = -5.428 eV/atom
ΔH_f (0 K) = -6.767 eV/f.u.
Total magnetic moment = 0.000 μB per atom



Record 8
Below is HfZr3Pd4 after structural relaxation, with properties calculated at the PBE level.

```
HfZr3Pd4
1.0
-0.928 3.766 5.017
-0.603 -6.269 -0.738
6.215 -0.439 -1.179
Pd Zr Hf
4 3 1
Direct
0.250 0.730 0.979
0.997 0.754 0.243
0.489 0.246 0.243
0.250 0.270 0.520
0.605 0.247 0.852
0.605 0.753 0.357
0.905 0.000 0.905
0.051 0.500 0.551
```

DFT total energy = -7.256 eV/atom
ΔH_f (0 K) = -1.675 eV/f.u.
Total magnetic moment = 0.000 μB per atom



Record 9
Below is HoTh4Sc after structural relaxation, with properties calculated at the PBE level.

```
HoTh4Sc
1.0
5.899 0.000 -1.500
0.000 7.009 0.000
-3.798 0.000 9.883
Th Ho Sc
8 2 2
Direct
0.019 0.250 0.674
0.500 0.501 0.663
0.994 0.750 0.999
0.500 0.999 0.663
0.006 0.250 0.001
0.981 0.750 0.326
0.500 0.001 0.337
0.500 0.499 0.337
0.019 0.750 0.676
0.981 0.250 0.324
0.500 0.500 0.000
0.500 0.000 0.000
```

DFT total energy = -6.717 eV/atom
ΔH_f (0 K) = 0.286 eV/f.u.
Energy above the most stable polymorph in this dataset = 0.043 eV/f.u.
Total magnetic moment = 0.000 μB per atom



Record 10
Below is SrCaAlCd after structural relaxation, with properties calculated at the PBE level.

```
SrCaAlCd
1.0
-2.456 -1.947 4.536
1.815 -4.652 2.336
2.617 0.189 4.849
Sr Ca Al Cd
1 1 1 1
Direct
0.000 0.000 0.000
0.500 0.500 0.500
0.250 0.250 0.250
0.750 0.750 0.750
```

DFT total energy = -2.321 eV/atom
ΔH_f (0 K) = -0.941 eV/f.u.
Total magnetic moment = 0.000 μB per atom



Record 11
Below is LiMgTa2 after structural relaxation, with properties calculated at the PBE level.

```
LiMgTa2
1.0
4.671 0.000 0.000
2.336 4.046 0.000
2.336 1.349 3.814
Mg Li Ta
1 1 2
Direct
0.750 0.750 0.750
0.500 0.500 0.500
0.250 0.250 0.250
0.000 0.000 0.000
```

DFT total energy = -6.211 eV/atom
ΔH_f (0 K) = 2.370 eV/f.u.
Total magnetic moment = 0.002 μB per atom



Record 12
Below is NdTl2B2O6 after structural relaxation, with properties calculated at the PBE level.

```
NdTl2B2O6
1.0
5.577 0.000 0.000
-2.788 4.833 -0.793
0.000 -3.742 6.844
B O Tl Nd
2 6 2 1
Direct
0.955 0.910 0.740
0.045 0.090 0.260
0.804 0.608 0.716
0.196 0.392 0.284
0.822 0.071 0.751
0.751 0.929 0.249
0.249 0.071 0.751
0.178 0.929 0.249
0.693 0.385 0.132
0.307 0.615 0.868
0.500 0.000 0.500
```

Energy relative to the elements, uncorrected = -2.07 eV per atom
DFT total energy = -6.850 eV/atom
Total magnetic moment = 0.000 μB per atom



Record 13
Below is Cs3U3PdS8 after structural relaxation, with properties calculated at the PBE level.

```
Cs3U3PdS8
1.0
-0.338 -5.259 -5.913
-3.174 -1.757 7.049
-4.928 6.115 -5.157
Pd S U Cs
1 8 3 3
Direct
0.000 0.000 0.500
0.714 0.946 0.678
0.286 0.054 0.322
0.728 0.456 0.685
0.768 0.054 0.322
0.232 0.946 0.678
0.768 0.535 0.322
0.232 0.465 0.678
0.272 0.544 0.315
0.500 0.000 0.500
0.500 0.500 0.500
0.000 0.500 0.500
0.000 0.000 0.000
0.000 0.500 0.000
0.500 0.500 0.000
```

Energy relative to the elements, uncorrected = -1.21 eV per atom
DFT total energy = -6.182 eV/atom
Total magnetic moment = 0.332 μB per atom



Record 14
Below is Pm2NiN after structural relaxation, with properties calculated at the PBE level.

```
Pm2NiN
1.0
-0.105 -0.053 3.658
0.135 -3.190 1.788
6.741 -0.685 2.014
Pm N Ni
2 1 1
Direct
0.237 0.237 0.288
0.763 0.763 0.712
0.500 0.500 0.500
0.000 0.000 0.000
```

Energy relative to the elements, uncorrected = -0.66 eV per atom
DFT total energy = -6.563 eV/atom
Energy above the most stable polymorph in this dataset = 0.000 eV/f.u.
Total magnetic moment = 0.000 μB per atom



Record 15
Below is ThNbAs2 after structural relaxation, with properties calculated at the PBE level.

```
ThNbAs2
1.0
4.161 0.000 0.000
2.080 3.603 0.000
2.080 1.201 8.339
Th As Nb
1 2 1
Direct
0.500 0.500 0.500
0.901 0.901 0.298
0.099 0.099 0.702
0.000 0.000 0.000
```

DFT total energy = -6.485 eV/atom
ΔH_f (0 K) = 0.849 eV/f.u.
Total magnetic moment = 0.364 μB per atom



Record 16
Below is In2Rh6C after structural relaxation, with properties calculated at the PBE level.

```
In2Rh6C
1.0
5.731 0.000 0.000
-2.865 4.963 0.000
0.000 0.000 9.326
In Rh C
4 12 2
Direct
0.000 0.000 0.128
0.000 0.000 0.628
0.333 0.667 0.874
0.667 0.333 0.374
0.168 0.335 0.377
0.996 0.498 0.123
0.832 0.665 0.877
0.502 0.004 0.123
0.502 0.498 0.123
0.004 0.502 0.623
0.335 0.168 0.877
0.168 0.832 0.377
0.498 0.502 0.623
0.665 0.832 0.377
0.498 0.996 0.623
0.832 0.168 0.877
0.667 0.333 0.746
0.333 0.667 0.246
```

DFT total energy = -6.704 eV/atom
ΔH_f (0 K) = -1.530 eV/f.u.
Total magnetic moment = 0.000 μB per atom



Record 17
Below is PmPrNiAs after structural relaxation, with properties calculated at the PBE level.

```
PmPrNiAs
1.0
-4.059 3.052 0.324
-1.911 1.217 4.556
0.513 4.734 1.792
Pr Pm Ni As
1 1 1 1
Direct
0.500 0.500 0.500
0.000 0.000 0.000
0.250 0.250 0.250
0.750 0.750 0.750
```

DFT total energy = -5.569 eV/atom
ΔH_f (0 K) = -2.316 eV/f.u.
Total magnetic moment = 0.166 μB per atom



Record 18
Below is Pu12GaGe6 after structural relaxation, with properties calculated at the PBE level.

```
Pu12GaGe6
1.0
7.407 0.496 0.595
-0.632 7.397 0.595
-0.632 -0.737 7.384
Ge Pu Ga
6 12 1
Direct
0.700 0.877 0.578
0.877 0.578 0.700
0.422 0.300 0.123
0.578 0.700 0.877
0.123 0.422 0.300
0.300 0.123 0.422
0.253 0.478 0.659
0.747 0.522 0.341
0.522 0.341 0.747
0.395 0.044 0.814
0.605 0.956 0.186
0.341 0.747 0.522
0.956 0.186 0.605
0.478 0.659 0.253
0.659 0.253 0.478
0.044 0.814 0.395
0.814 0.395 0.044
0.186 0.605 0.956
0.000 0.000 0.000
```

DFT total energy = -10.727 eV/atom
ΔH_f (0 K) = -1.090 eV/f.u.
Total magnetic moment = 1.229 μB per atom



Record 19
Below is NaDyMg2Cl8 after structural relaxation, with properties calculated at the PBE level.

```
NaDyMg2Cl8
1.0
6.251 -0.013 -0.004
0.046 6.190 -0.007
0.006 0.009 7.818
Mg Cl Na Dy
2 8 1 1
Direct
0.500 0.500 0.736
0.500 0.500 0.264
0.684 0.699 0.000
0.797 0.218 0.239
0.316 0.301 0.000
0.203 0.782 0.761
0.322 0.306 0.500
0.678 0.694 0.500
0.797 0.218 0.761
0.203 0.782 0.239
0.000 0.000 0.500
0.000 0.000 0.000
```

Energy relative to the elements, uncorrected = -1.95 eV per atom
DFT total energy = -3.940 eV/atom
Total magnetic moment = 0.000 μB per atom



Record 20
Below is CsRbCo2Br8 after structural relaxation, with properties calculated at the PBE level.

```
CsRbCo2Br8
1.0
-7.067 1.357 -1.347
-2.899 -1.783 -6.481
-5.835 -9.546 1.102
Br Rb Co Cs
8 1 2 1
Direct
0.470 0.667 0.803
0.060 0.470 0.803
0.831 0.831 0.506
0.169 0.169 0.494
0.333 0.940 0.197
0.667 0.060 0.803
0.530 0.333 0.197
0.940 0.530 0.197
0.000 0.000 0.000
0.757 0.757 0.729
0.243 0.243 0.271
0.500 0.500 0.500
```

Energy relative to the elements, uncorrected = -0.80 eV per atom
DFT total energy = -3.253 eV/atom
Total magnetic moment = 0.667 μB per atom



Record 21
Below is AlAs4Pb after structural relaxation, with properties calculated at the PBE level.

```
AlAs4Pb
1.0
-2.514 2.481 4.553
-3.539 4.486 -0.751
-5.664 -0.623 0.859
Pb As Al
1 4 1
Direct
0.750 0.750 0.750
0.892 0.369 0.369
0.369 0.892 0.369
0.369 0.369 0.892
0.369 0.369 0.369
0.000 0.000 0.000
```

DFT total energy = -3.986 eV/atom
ΔH_f (0 K) = 2.132 eV/f.u.
Total magnetic moment = 0.000 μB per atom



Record 22
Below is TaMo4W4 after structural relaxation, with properties calculated at the PBE level.

```
TaMo4W4
1.0
-2.275 -1.775 -1.346
3.590 -4.896 -3.381
-1.324 -4.821 4.827
Mo W Ta
4 4 1
Direct
0.169 0.163 0.000
0.831 0.500 0.337
0.831 0.837 0.000
0.169 0.500 0.663
0.834 0.166 0.666
0.166 0.834 0.334
0.500 0.166 0.334
0.500 0.834 0.666
0.500 0.500 0.000
```

DFT total energy = -11.966 eV/atom
ΔH_f (0 K) = -0.707 eV/f.u.
Energy above the most stable polymorph in this dataset = 0.000 eV/f.u.
Total magnetic moment = 0.000 μB per atom



Record 23
Below is CeYEr6 after structural relaxation, with properties calculated at the PBE level.

```
CeYEr6
1.0
4.978 0.000 0.000
0.000 4.978 0.000
0.000 0.000 9.927
Er Ce Y
6 1 1
Direct
0.500 0.000 0.252
0.500 0.000 0.748
0.000 0.500 0.748
0.500 0.500 0.000
0.500 0.500 0.500
0.000 0.500 0.252
0.000 0.000 0.500
0.000 0.000 0.000
```

DFT total energy = -4.926 eV/atom
ΔH_f (0 K) = 0.370 eV/f.u.
Energy above the most stable polymorph in this dataset = 0.000 eV/f.u.
Total magnetic moment = 0.119 μB per atom